## i
A relaxed structure of LiCo2Ru. Source: the Alexandria database, functional GGA-PBE.

Cell and atoms, written as POSCAR:
```
LiCo2Ru
1.0
4.074 0.000 0.000
2.037 3.528 0.000
2.037 1.176 3.326
Co Li Ru
2 1 1
Cartesian
0.000 0.000 0.000
6.110 3.528 2.495
4.074 2.352 1.663
2.037 1.176 0.832
```

Results
M_tot, μB/f.u.: 4.9
V, A^3/atom: 11.9
Crystal system: cubic

---

## ii
A relaxed structure of LiCo2Ru. Source: the Alexandria database, functional GGA-PBE.

Cell and atoms, written as POSCAR:
```
LiCo2Ru
1.0
-1.572 0.162 -3.877
2.047 -1.209 -0.881
-2.045 -3.949 0.664
Co Li Ru
2 1 1
Cartesian
-1.712 -3.954 0.529
-1.127 -1.221 -1.855
0.354 -2.539 -0.250
-1.130 -3.810 -1.962
```

Results
M_tot, μB/f.u.: 2.8
V, A^3/atom: 11.9
Crystal system: orthorhombic

---

The relative energies come out as i 83; ii 0, with values in meV per atom.

---

## i
A relaxed structure of LiCo2Ru. Source: the Alexandria database, functional GGA-PBE.

Cell and atoms, written as POSCAR:
```
LiCo2Ru
1.0
-2.643 3.509 -0.559
-0.879 0.666 -4.289
-0.249 -3.572 2.605
Co Li Ru
2 1 1
Cartesian
0.000 0.000 0.000
-1.444 -0.409 -2.054
-1.761 2.088 -2.424
-2.326 1.012 -0.189
```

Results
M_tot, μB/f.u.: 1.0
V, A^3/atom: 11.5
Crystal system: tetragonal

---

## ii
A relaxed structure of LiCo2Ru. Source: the Alexandria database, functional GGA-PBE.

Cell and atoms, written as POSCAR:
```
LiCo2Ru
1.0
8.738 0.016 0.010
8.348 2.582 0.010
8.348 1.270 2.248
Co Li Ru
2 1 1
Cartesian
0.062 0.009 0.006
12.655 1.925 1.128
6.359 0.967 0.567
19.076 2.901 1.701
```

Results
M_tot, μB/f.u.: 3.0
V, A^3/atom: 12.6
Crystal system: trigonal

---

The relative energies come out as i 34; ii 0, with values in meV per atom.

---

## i
A relaxed structure of LiCo2Ru2. Source: the Alexandria database, functional GGA-PBE.

Cell and atoms, written as POSCAR:
```
LiCo2Ru2
1.0
7.242 0.000 0.000
0.000 7.242 0.000
0.000 0.000 2.575
Ru Co Li
4 4 2
Cartesian
2.705 6.326 0.000
6.326 4.536 0.000
4.536 0.915 0.000
0.915 2.705 0.000
1.223 4.844 1.288
4.844 6.019 1.288
6.019 2.398 1.288
2.398 1.223 1.288
0.000 0.000 0.000
3.621 3.621 0.000
```

Results
M_tot, μB/f.u.: 1.6
V, A^3/atom: 13.5
Crystal system: tetragonal

---

## ii
A relaxed structure of LiCo2Ru2. Source: the Alexandria database, functional GGA-PBE.

Cell and atoms, written as POSCAR:
```
LiCo2Ru2
1.0
7.149 0.000 0.000
0.000 7.149 0.000
0.000 0.000 2.571
Ru Co Li
4 4 2
Cartesian
1.265 4.840 1.285
4.840 5.884 1.285
5.884 2.309 1.285
2.309 1.265 1.285
2.739 6.314 0.000
6.314 4.410 0.000
4.410 0.835 0.000
0.835 2.739 0.000
0.000 0.000 0.000
3.574 3.574 0.000
```

Results
M_tot, μB/f.u.: 0.3
V, A^3/atom: 13.1
Crystal system: tetragonal

---

The relative energies come out as i 27; ii 0, with values in meV per atom.

---

## i
A relaxed structure of LiCo3S. Source: the Alexandria database, functional GGA-PBE.

Cell and atoms, written as POSCAR:
```
LiCo3S
1.0
-3.893 -0.696 -0.526
-0.100 -2.032 3.432
-0.866 3.362 1.965
S Co Li
1 3 1
Cartesian
-2.430 0.317 2.436
-0.050 -1.016 1.716
-0.433 1.681 0.982
-1.946 -0.348 -0.263
0.000 0.000 0.000
```

Results
M_tot, μB/f.u.: 4.9
V, A^3/atom: 12.7
Crystal system: cubic

---

## ii
A relaxed structure of LiCo3S. Source: the Alexandria database, functional GGA-PBE.

Cell and atoms, written as POSCAR:
```
LiCo3S
1.0
-3.851 1.114 0.998
0.019 -2.719 3.111
1.496 2.904 2.529
S Co Li
1 3 1
Cartesian
0.000 0.000 0.000
0.010 -1.359 1.555
0.748 1.452 1.265
-1.926 0.557 0.499
-1.168 0.650 3.319
```

Results
M_tot, μB/f.u.: 3.9
V, A^3/atom: 14.1
Crystal system: cubic

---

The relative energies come out as i 987; ii 0, with values in meV per atom.